Here is P2PbBr after structural relaxation from the Alexandria database. Energies are from GGA-PBE.

abc: 7.208 7.208 7.208
angles: 152.46 131.92 56.31
Fractional positions:
P  0.000  0.000  0.000
P  0.888  0.388  0.500
Pb  0.455  0.455  0.000
Br  0.274  0.774  0.500

Values from the calculation:
- energy relative to the elements, uncorrected (eV per atom) = -0.0429
- symmetry = Imm2
- E above lowest polymorph (meV/atom) = 88.0

Here is K2Cd9In3 after structural relaxation from the Alexandria database. Energies are from GGA-PBE.

abc: 8.994 8.994 10.595
angles: 90.00 90.00 61.06
Fractional positions:
K  0.005  0.679  0.750
K  0.321  0.995  0.750
K  0.679  0.005  0.250
K  0.995  0.321  0.250
Cd  0.019  0.656  0.091
Cd  0.019  0.656  0.409
Cd  0.149  0.851  0.250
Cd  0.340  0.660  0.550
Cd  0.340  0.660  0.950
Cd  0.344  0.981  0.091
Cd  0.344  0.981  0.409
Cd  0.354  0.453  0.250
Cd  0.453  0.354  0.750
Cd  0.547  0.646  0.250
Cd  0.646  0.547  0.750
Cd  0.656  0.019  0.591
Cd  0.656  0.019  0.909
Cd  0.660  0.340  0.050
Cd  0.660  0.340  0.450
Cd  0.851  0.149  0.750
Cd  0.981  0.344  0.591
Cd  0.981  0.344  0.909
In  0.000  0.000  0.000
In  0.000  0.000  0.500
In  0.313  0.313  0.000
In  0.313  0.313  0.500
In  0.687  0.687  0.000
In  0.687  0.687  0.500

Values from the calculation:
- symmetry = Cmcm
- formation energy from the elements (eV per atom) = -0.06

Here is Sc2PbBr after structural relaxation from the Alexandria database. Energies are from GGA-PBE.

abc: 3.690 3.690 7.421
angles: 90.00 90.00 90.00
Fractional positions:
Sc  0.000  0.000  0.000
Sc  0.500  0.500  0.249
Pb  0.500  0.500  0.782
Br  0.000  0.000  0.386

Values from the calculation:
- energy relative to the elements, uncorrected (eV per atom) = -0.5571
- symmetry = P4mm
- E above lowest polymorph (meV/atom) = 50.1

Here is Mn2GaC after structural relaxation from the Alexandria database. Energies are from GGA-PBE.

abc: 2.886 2.886 6.491
angles: 102.99 102.99 59.97
Fractional positions:
Mn  0.223  0.223  0.168
Mn  0.777  0.777  0.832
Ga  0.000  0.000  0.500
C  0.500  0.500  0.000

Values from the calculation:
- symmetry = C2/m
- formation energy from the elements (eV per atom) = -0.10

Here is Pr4TmCd after structural relaxation from the Alexandria database. Energies are from GGA-PBE.

abc: 8.586 8.586 6.428
angles: 100.20 100.20 116.52
Fractional positions:
Pr  0.094  0.710  0.952
Pr  0.174  0.403  0.625
Pr  0.290  0.906  0.548
Pr  0.403  0.174  0.125
Pr  0.597  0.826  0.875
Pr  0.710  0.094  0.452
Pr  0.826  0.597  0.375
Pr  0.906  0.290  0.048
Tm  0.410  0.590  0.250
Tm  0.590  0.410  0.750
Cd  0.001  0.999  0.250
Cd  0.999  0.001  0.750

Values from the calculation:
- symmetry = C2/c
- formation energy from the elements (eV per atom) = 0.00
- E above lowest polymorph (meV/atom) = 93.7

Here is ReBr5 after structural relaxation from the Alexandria database. Energies are from GGA-PBE.

abc: 7.987 7.987 10.763
angles: 131.61 131.61 23.05
Fractional positions:
Re  0.000  0.000  0.000
Br  0.027  0.027  0.527
Br  0.212  0.212  0.211
Br  0.315  0.315  0.815
Br  0.518  0.518  0.208
Br  0.522  0.522  0.832

Values from the calculation:
- energy relative to the elements, uncorrected (eV per atom) = 0.0373
- symmetry = Cm
- E above lowest polymorph (meV/atom) = 94.4